# 1
PBE-GGA Rb4YPa3S12, relaxed; crystal system = cubic; V = 595.6 Å³/cell; uncorrected formation energy = -1.478 eV per atom
1.0
-4.004 -4.844 -6.692
9.054 -1.513 -0.124
-3.424 -2.584 8.117
Rb Y Pa S
4 1 3 12
Cartesian
0.813 -4.471 0.651 Rb
-1.712 -1.292 4.058 Rb
-2.002 -2.422 -3.346 Rb
4.527 -0.757 -0.062 Rb
0.000 0.000 0.000 Y
-3.714 -3.714 0.713 Pa
2.525 -3.179 -3.408 Pa
2.815 -2.048 3.996 Pa
0.958 -3.905 4.353 S
-5.522 -5.522 1.059 S
-1.906 -1.906 0.366 S
0.668 -5.036 -3.052 S
3.754 -4.726 -5.067 S
1.296 -1.631 -1.749 S
-2.451 -5.303 -0.991 S
4.078 -3.638 2.293 S
-2.306 -4.738 2.711 S
4.186 -3.046 5.942 S
3.933 -4.203 -1.410 S
1.445 -1.051 2.051 S



# 2
PBE-GGA Rb4Y3PaS8, relaxed; crystal system = trigonal; V = 445.6 Å³/cell; uncorrected formation energy = -1.736 eV per atom
1.0
8.171 0.000 0.000
0.000 9.018 0.591
-4.085 -4.083 5.780
Rb Y Pa S
4 3 1 8
Cartesian
4.085 0.000 0.000 Rb
2.043 -2.041 2.890 Rb
0.000 0.000 0.000 Rb
-2.043 -2.041 2.890 Rb
4.085 4.509 0.295 Y
2.043 2.468 3.185 Y
-2.043 2.468 3.185 Y
0.000 4.509 0.295 Pa
-2.051 2.323 5.978 S
0.000 4.374 3.075 S
0.000 0.573 3.291 S
2.051 2.323 5.978 S
2.034 2.612 0.393 S
4.085 4.362 3.080 S
4.085 0.562 3.295 S
6.137 2.612 0.393 S



# 3
PBE-GGA RbYPaS4, relaxed; crystal system = orthorhombic; V = 434.1 Å³/cell; uncorrected formation energy = -1.676 eV per atom
1.0
-6.669 -5.203 -1.174
7.288 -3.037 3.116
-4.842 5.138 4.736
Rb Y Pa S
2 2 2 8
Cartesian
-0.967 -6.203 1.926 Rb
-3.256 3.101 4.752 Rb
-5.756 -0.032 1.781 Y
-3.335 -2.601 -0.587 Y
-2.112 -1.551 3.339 Pa
1.223 1.050 3.926 Pa
-4.825 -1.688 3.835 S
-3.085 -0.380 1.073 S
-5.860 -2.545 0.585 S
-2.844 -3.790 1.898 S
-1.379 0.688 4.781 S
-1.138 -2.722 5.605 S
1.637 -0.557 6.093 S
0.602 -1.414 2.843 S



- Which formula does entry 3 have?
  RbYPaS4



- What is the uncorrected formation energy in the third record?
  -1.676 eV per atom



Repeat the second record exactly.
PBE-GGA Rb4Y3PaS8, relaxed; crystal system = trigonal; V = 445.6 Å³/cell; uncorrected formation energy = -1.736 eV per atom
1.0
8.171 0.000 0.000
0.000 9.018 0.591
-4.085 -4.083 5.780
Rb Y Pa S
4 3 1 8
Cartesian
4.085 0.000 0.000 Rb
2.043 -2.041 2.890 Rb
0.000 0.000 0.000 Rb
-2.043 -2.041 2.890 Rb
4.085 4.509 0.295 Y
2.043 2.468 3.185 Y
-2.043 2.468 3.185 Y
0.000 4.509 0.295 Pa
-2.051 2.323 5.978 S
0.000 4.374 3.075 S
0.000 0.573 3.291 S
2.051 2.323 5.978 S
2.034 2.612 0.393 S
4.085 4.362 3.080 S
4.085 0.562 3.295 S
6.137 2.612 0.393 S



- Which of these has the lowest uncorrected formation energy?
  Rb4Y3PaS8